Run 1
First-principles (GGA-PBE) data for a geometry-optimized ErThPb structure, as listed in Alexandria via LeMat-Bulk.

a b c (Å): 4.478 9.955 8.261
angles (deg): 90.00 90.00 90.00
Fractional coordinates of all 12 atoms:
1 Er 0.250 0.563 0.137
2 Er 0.750 0.437 0.863
3 Er 0.250 0.937 0.637
4 Er 0.750 0.063 0.363
5 Th 0.250 0.339 0.538
6 Th 0.750 0.661 0.462
7 Th 0.250 0.161 0.038
8 Th 0.750 0.839 0.962
9 Pb 0.250 0.642 0.757
10 Pb 0.750 0.358 0.243
11 Pb 0.250 0.858 0.257
12 Pb 0.750 0.142 0.743

Computed properties:
Space-group type = Pnma
Total moment = 0.00 Bohr magnetons per cell

---

Run 2
First-principles (GGA-PBE) data for a geometry-optimized ErThPb structure, as listed in Alexandria via LeMat-Bulk.

a b c (Å): 3.592 5.437 5.437
angles (deg): 120.00 90.00 90.00
Fractional coordinates of all 3 atoms:
1 Pb 0.055 0.000 0.000
2 Th 0.711 0.333 0.667
3 Er 0.234 0.667 0.333

Computed properties:
Space-group type = P3m1
Total moment = 0.00 Bohr magnetons per cell

---

Which structure wins on stability? run 1 wins.